Entry from the Alexandria database: a relaxed structure of SrLaGa2Sn (GGA-PBE).

Unit cell a=5.537 b=6.054 c=5.537 alpha=90.00 beta=90.00 gamma=90.00
Each line ends with the local moment (μB).
Fractional positions:
Sr  0.000  0.000  0.000  0.07
Sn  0.500  0.500  0.500  0.01
Ga  0.000  0.000  0.500  0.00
Ga  0.500  0.000  0.000  -0.01
La  0.000  0.500  0.000  0.18

Computed properties:
The calculation puts the total moment at 0.48 Bohr magnetons per cell. The formation energy comes out at 0.8279 eV per atom. The space group is P4/mmm (123).

***

Entry from the Alexandria database: a relaxed structure of LaTbGaSn (GGA-PBE).

Unit cell a=4.606 b=4.249 c=6.221 alpha=90.00 beta=111.72 gamma=90.00
Fractional positions:
La  0.138  0.000  0.277
Tb  0.860  0.500  0.720
Ga  0.581  0.500  0.161
Sn  0.421  0.000  0.842

Computed properties:
The calculation puts the total moment at 0.10 Bohr magnetons per cell. Its excess energy over the best structure of this formula in the dataset is 0.0 meV/atom. The formation energy comes out at -0.6995 eV per atom. The space group is Amm2 (38).